! Sn2PtRh3 | the Alexandria database | PBE | optimized geometry; values from VASP
&SYSTEM
  ibrav = 0, nat = 12, ntyp = 3
/
ATOMIC_SPECIES
Sn 118.71 Sn.upf
Pt 195.08 Pt.upf
Rh 102.91 Rh.upf
CELL_PARAMETERS angstrom
4.338 0.000 0.000
0.000 8.112 0.000
0.000 0.000 5.618
ATOMIC_POSITIONS angstrom
Sn 0.000 1.171 0.000
Sn 0.000 6.941 2.809
Sn 2.169 2.788 3.388
Sn 2.169 5.324 0.579
Pt 0.000 3.834 4.699
Pt 0.000 4.278 1.890
Rh 0.000 1.477 2.650
Rh 0.000 6.635 5.459
Rh 2.169 0.222 4.295
Rh 2.169 2.611 0.695
Rh 2.169 5.501 3.503
Rh 2.169 7.890 1.486
! electronic total energy: -6.41 eV/atom
! excess energy over the best structure of this formula in the dataset: 0.000 eV/atom
! energy of formation from the pure elements: -0.39 eV/atom